A geometry-optimized Li5Cu4P6 structure. Source: the Open Quantum Materials Database, functional PBE-GGA.

Lattice parameters (Å, degrees): 3.843 7.871 7.871 105.58 104.13 104.13
Sites, in units of the cell vectors:
Cu: 0.267 0.094 0.440
Cu: 0.267 0.440 0.094
Cu: 0.733 0.560 0.906
Cu: 0.733 0.906 0.560
Li: 0.171 0.671 0.671
Li: 0.000 0.276 0.724
Li: 0.000 0.724 0.276
Li: 0.000 0.000 0.000
Li: 0.829 0.329 0.329
P: 0.376 0.729 0.023
P: 0.376 0.023 0.729
P: 0.624 0.977 0.271
P: 0.500 0.414 0.586
P: 0.500 0.586 0.414
P: 0.624 0.271 0.977

## Properties
Volume, Å³ per cell: 209.81
Uncorrected energy, eV per atom: -4.239
Symmetry: No. 71


A geometry-optimized PmNdNO structure. Source: the Open Quantum Materials Database, functional PBE-GGA.

Lattice parameters (Å, degrees): 3.980 5.854 6.867 90.00 90.00 90.00
Sites, in units of the cell vectors:
N: 0.000 0.892 0.342
N: 0.000 0.392 0.658
Pm: 0.000 0.988 0.671
Pm: 0.000 0.488 0.329
Nd: 0.500 0.985 0.164
Nd: 0.500 0.485 0.836
O: 0.500 0.389 0.182
O: 0.500 0.889 0.818

## Properties
Volume, Å³ per cell: 159.96
Uncorrected energy, eV per atom: -7.631
Symmetry: No. 26


A geometry-optimized ZnInMo4C2 structure. Source: the Open Quantum Materials Database, functional PBE-GGA.

Lattice parameters (Å, degrees): 3.085 3.085 13.692 90.00 90.00 120.00
Sites, in units of the cell vectors:
In: 0.000 0.000 0.500
Mo: 0.000 0.000 0.157
Mo: 0.333 0.667 0.674
Mo: 0.333 0.667 0.326
Mo: 0.000 0.000 0.843
Zn: 0.333 0.667 0.000
C: 0.667 0.333 0.241
C: 0.667 0.333 0.759

## Properties
Volume, Å³ per cell: 112.83
Uncorrected energy, eV per atom: -8.220
Symmetry: No. 187


A geometry-optimized Dy2Ni2B2AsC structure. Source: the Open Quantum Materials Database, functional PBE-GGA.

Lattice parameters (Å, degrees): 3.844 3.844 7.722 90.00 90.00 90.00
Sites, in units of the cell vectors:
Dy: 0.500 0.500 0.136
Dy: 0.000 0.000 0.795
As: 0.000 0.000 0.164
Ni: 0.000 0.500 0.502
Ni: 0.500 0.000 0.502
C: 0.500 0.500 0.832
B: 0.000 0.000 0.431
B: 0.500 0.500 0.638

## Properties
Volume, Å³ per cell: 114.12
Uncorrected energy, eV per atom: -6.441
Symmetry: No. 99